DFT (PBE) results for Rb3La2Te6Pb after structural relaxation.

a b c (Å): 8.1707 14.1494 9.0384
angles (deg): 90.00 107.52 90.00
Last column: nearest neighbours and their distance in Å.
Space group C2/m (No. 12)
Unique sites:
Rb (0.0000, 0.0000, 0.0000) x2  6 Te 3.69-3.72
Rb (0.0000, 0.3351, 0.0000) x4  6 Te 3.70-3.72
La (0.0000, 0.1668, 0.5000) x4  6 Te 3.24
Te (0.2316, 0.0000, 0.7070) x4  2 La 3.24, 1 Pb 3.28
Te (0.2378, 0.3314, 0.7074) x8  2 La 3.24, 1 Pb 3.28
Pb (0.0000, 0.5000, 0.5000) x2  6 Te 3.28

Calculated values
* crystal system: monoclinic
* E: -98.24 eV per cell
* raw formation energy: -1.15 eV per atom
* D(E_F): 1.177 states/eV per atom